SrSb7 | GGA-PBE | optimized geometry

```
8
Lattice="0.000 4.834 4.834 4.834 0.000 4.834 4.834 4.834 0.000" Properties=species:S:1:pos:R:3 pbc="T T T"
Sb 4.834 4.834 4.834
Sb 2.417 4.834 2.417
Sb 4.834 2.417 2.417
Sb 0.000 2.417 2.417
Sb 2.417 2.417 0.000
Sb 2.417 2.417 4.834
Sb 2.417 0.000 2.417
Sr 0.000 0.000 0.000
```

Values from the calculation:
E_form (uncorrected) ... -0.0316 eV/atom
Space-group type ... Fm-3m

MgTa2Ni | GGA-PBE | optimized geometry

```
4
Lattice="5.239 0.004 0.010 4.427 2.800 0.010 1.973 0.572 4.564" Properties=species:S:1:pos:R:3 pbc="T T T"
Ni 3.151 0.914 1.449
Ta 11.325 3.286 4.470
Ta 8.674 2.516 3.575
Mg 5.948 1.726 1.966
```

Values from the calculation:
Calculated total energy ... -30.66 eV/cell
Space-group type ... Cm